A relaxed structure of CeZnP2, computed with PBE.

Unit cell a=3.869 b=3.869 c=9.967 alpha=90.00 beta=90.00 gamma=90.00
Site moments in Bohr magnetons follow the coordinates.
Sites, in units of the cell vectors:
Ce (0.500, 0.000, 0.717)  0.47
Ce (0.000, 0.500, 0.283)  0.47
Zn (0.500, 0.500, 0.000)  0.01
Zn (0.000, 0.000, 0.000)  0.01
P (0.000, 0.500, 0.835)  0.00
P (0.500, 0.500, 0.500)  -0.01
P (0.500, 0.000, 0.165)  0.00
P (0.000, 0.000, 0.500)  -0.01

Values from the calculation:
Space-group type = No. 129
M_tot = 0.15 μB/atom
Energy above the lowest structure with this stoichiometry = 0.0 meV/atom
Calculated formation energy = -0.72 eV per atom